A plane-wave DFT calculation with GGA+U was carried out for NaLaVSbO6 after structural relaxation.

Lattice parameters (Å, degrees): 7.9529 7.9529 7.9529 90.00 90.00 90.00
Space group F-43m (No. 216)
Symmetry-distinct sites (fractional):
Na (0.0000, 0.0000, 0.0000) x4
La (0.0000, 0.0000, 0.5000) x4
V (0.2500, 0.2500, 0.2500) x4
Sb (0.2500, 0.2500, 0.7500) x4
O (0.0022, 0.2500, 0.7500) x24

Calculated values
As for the total energy: -0.2512 hartree per atom.